No. 1
## PuSnH2 (PBE-GGA)

Data for a relaxed PuSnH2 crystal.

The energy relative to the lowest polymorph listed for this composition comes out at 0 meV/atom. The value obtained for the total magnetic moment is 13.84 μB/cell. The value obtained for the density of states at the Fermi level is 25.7 states/eV per cell.

The structure belongs to space group R-3m (No. 166, hexagonal axes); the cell edges are 3.6077, 3.6077 and 16.0628 Å and the angles 90.00°, 90.00° and 120.00°. The asymmetric unit holds Pu at (0.0000, 0.0000, 0.0000), Sn at (0.0000, 0.0000, 0.5000) and H at (0.0000, 0.0000, 0.2994).



No. 2
## Pm2PuNi (PBE-GGA)

Data for a relaxed Pm2PuNi crystal.

The energy relative to the lowest polymorph listed for this composition comes out at 0 meV/atom. The value obtained for the total magnetic moment is 6.91 μB/cell. The value obtained for the density of states at the Fermi level is 8.1 states/eV per cell.

The structure belongs to space group P4/mmm (No. 123); the cell edges are 3.4983, 3.4983 and 8.5858 Å and the angles 90.00°, 90.00° and 90.00°. The asymmetric unit holds Pm at (0.0000, 0.0000, 0.1951), Pu at (0.5000, 0.5000, 0.5000) and Ni at (0.5000, 0.5000, 0.0000).



No. 3
## LaTb2Th (PBE-GGA)

Data for a relaxed LaTb2Th crystal.

The energy relative to the lowest polymorph listed for this composition comes out at 30 meV/atom. The value obtained for the total magnetic moment is 0.00 μB/cell. The value obtained for the density of states at the Fermi level is 4.5 states/eV per cell.

The structure belongs to space group P4/mmm (No. 123); the cell edges are 5.1359, 5.1359 and 5.0186 Å and the angles 90.00°, 90.00° and 90.00°. The asymmetric unit holds La at (0.0000, 0.0000, 0.0000), Tb at (0.0000, 0.5000, 0.5000) and Th at (0.5000, 0.5000, 0.0000).



No. 4
## Ca2Be2SnPd5 (PBE-GGA)

Data for a relaxed Ca2Be2SnPd5 crystal.

For the final energy, the calculation gives -96.80 eV for the cell shown. The value obtained for the total magnetic moment is 0.00 μB/cell. The value obtained for the density of states at the Fermi level is 4.6 states/eV per cell.

The structure belongs to space group P4/mbm (No. 127); the cell edges are 9.8344, 9.8344 and 3.4442 Å and the angles 90.00°, 90.00° and 90.00°. The asymmetric unit holds Ca at (0.1772, 0.3228, 0.0000), Be at (0.1169, 0.6169, 0.0000), Sn at (0.0000, 0.0000, 0.0000), Pd at (0.0000, 0.5000, 0.5000) and Pd at (0.0697, 0.7801, 0.5000).